NiAgF4: relaxed, PBE with a Hubbard U.

Unit cell a=5.607 b=5.016 c=5.530 alpha=90.00 beta=102.37 gamma=90.00
Fractional positions:
Ni (0.000, 0.000, 0.000)
Ni (0.000, 0.500, 0.500)
Ag (0.500, 0.000, 0.500)
Ag (0.500, 0.500, 0.000)
F (0.127, 0.213, 0.747)
F (0.127, 0.287, 0.247)
F (0.338, 0.661, 0.633)
F (0.338, 0.839, 0.133)
F (0.662, 0.161, 0.867)
F (0.662, 0.339, 0.367)
F (0.873, 0.713, 0.753)
F (0.873, 0.787, 0.253)

Properties
- total DFT energy (no corrections) (eV/atom) = -3.767
- DOS at the Fermi energy (states/eV per cell) = 3.485